Li3Pr2HfSe6 after structural relaxation. Source: Alexandria, functional GGA-PBE.

It has space group C2/m (No. 12), with a = 7.0636 Å, b = 12.2664 Å, c = 6.9335 Å, α = 90.00°, β = 109.71° and γ = 90.00°. The distinct sites, in fractional coordinates, are Li at (0.0000, 0.0000, 0.0000), Li at (0.0000, 0.3425, 0.0000), Pr at (0.0000, 0.1680, 0.5000), Hf at (0.0000, 0.5000, 0.5000), Se at (0.2242, 0.5000, 0.2481) and Se at (0.2393, 0.3472, 0.7591).

The calculation puts the raw total energy at -5.3519 eV per atom.

LiPr2HfSe5 after structural relaxation. Source: Alexandria, functional GGA-PBE.

It has space group Cmc2_1 (No. 36), with a = 4.0510 Å, b = 17.4088 Å, c = 12.2363 Å, α = 90.00°, β = 90.00° and γ = 90.00°. The distinct sites, in fractional coordinates, are Li at (0.0000, 0.0571, 0.0000), Pr at (0.0000, 0.3701, 0.8528), Pr at (0.0000, 0.3916, 0.2365), Hf at (0.0000, 0.3036, 0.5634), Se at (0.0000, 0.0042, 0.3241), Se at (0.0000, 0.1455, 0.5502), Se at (0.0000, 0.1926, 0.9092), Se at (0.0000, 0.2171, 0.2129) and Se at (0.0000, 0.4467, 0.6072).

The calculation puts the raw total energy at -5.8936 eV per atom.

LiHf3Pt12 after structural relaxation. Source: Alexandria, functional GGA-PBE.

It has space group P4/mmm (No. 123), with a = 4.0052 Å, b = 4.0052 Å, c = 15.9130 Å, α = 90.00°, β = 90.00° and γ = 90.00°. The distinct sites, in fractional coordinates, are Li at (0.0000, 0.0000, 0.0000), Hf at (0.0000, 0.0000, 0.2404), Hf at (0.0000, 0.0000, 0.5000), Pt at (0.0000, 0.5000, 0.1195), Pt at (0.0000, 0.5000, 0.3730), Pt at (0.5000, 0.5000, 0.0000), Pt at (0.5000, 0.5000, 0.2472) and Pt at (0.5000, 0.5000, 0.5000).

The calculation puts the raw total energy at -7.4663 eV per atom. As for the calculated formation energy: -950 meV/atom.

LiHfPt3 after structural relaxation. Source: Alexandria, functional GGA-PBE.

It has space group Pm-3m (No. 221), with a = 4.9725 Å, b = 4.9725 Å, c = 4.9725 Å, α = 90.00°, β = 90.00° and γ = 90.00°. The distinct sites, in fractional coordinates, are Li at (0.0000, 0.0000, 0.0000), Hf at (0.5000, 0.5000, 0.5000) and Pt at (0.0000, 0.5000, 0.5000).

The calculation puts the raw total energy at -5.6680 eV per atom. As for the calculated formation energy: 330 meV/atom. The calculation puts the energy above the most stable polymorph in this dataset at 1088 meV/atom.

LiHf2Pt4 after structural relaxation. Source: Alexandria, functional GGA-PBE.

It has space group Fmmm (No. 69), with a = 5.6726 Å, b = 7.8768 Å, c = 11.2117 Å, α = 90.00°, β = 90.00° and γ = 90.00°. The distinct sites, in fractional coordinates, are Li at (0.0000, 0.0000, 0.0000), Hf at (0.0000, 0.0000, 0.3605), Pt at (0.2500, 0.2500, 0.0000) and Pt at (0.2500, 0.2500, 0.2500).

The calculation puts the raw total energy at -7.3922 eV per atom. As for the calculated formation energy: -823 meV/atom.

LiHf2Pt9 after structural relaxation. Source: Alexandria, functional GGA-PBE.

It has space group P4/mmm (No. 123), with a = 3.9973 Å, b = 3.9973 Å, c = 11.8719 Å, α = 90.00°, β = 90.00° and γ = 90.00°. The distinct sites, in fractional coordinates, are Li at (0.0000, 0.0000, 0.0000), Hf at (0.0000, 0.0000, 0.3242), Pt at (0.0000, 0.5000, 0.1604), Pt at (0.0000, 0.5000, 0.5000), Pt at (0.5000, 0.5000, 0.0000) and Pt at (0.5000, 0.5000, 0.3313).

The calculation puts the raw total energy at -7.2421 eV per atom. As for the calculated formation energy: -893 meV/atom.

Li2HfPt after structural relaxation. Source: Alexandria, functional GGA-PBE.

It has space group I-42d (No. 122), with a = 3.7822 Å, b = 3.7822 Å, c = 20.2631 Å, α = 90.00°, β = 90.00° and γ = 90.00°. The distinct sites, in fractional coordinates, are Li at (0.2083, 0.2500, 0.1250), Hf at (0.0000, 0.0000, 0.5000) and Pt at (0.0000, 0.0000, 0.0000).

The calculation puts the raw total energy at -5.2430 eV per atom. As for the calculated formation energy: -288 meV/atom. The calculation puts the energy above the most stable polymorph in this dataset at 0 meV/atom.

Li2Hf2Pt3 after structural relaxation. Source: Alexandria, functional GGA-PBE.

It has space group P-1 (No. 2), with a = 4.6097 Å, b = 4.6137 Å, c = 7.3846 Å, α = 89.85°, β = 72.24° and γ = 60.07°. The distinct sites, in fractional coordinates, are Li at (0.2376, 0.1298, 0.3997), Hf at (0.2723, 0.6149, 0.8372), Pt at (0.0222, 0.7380, 0.2232) and Pt at (0.5000, 0.0000, 0.0000).

The calculation puts the raw total energy at -6.8066 eV per atom. As for the calculated formation energy: -827 meV/atom.